# 1
Nd12Dy7Th, relaxed, DFT PBE-GGA; density of states at the Fermi level = 31.36 states/eV per cell; energy of formation from the pure elements = 272 meV/atom; energy above the most stable polymorph in this dataset = 50.2 meV/atom
1.0
6.123 0.000 -1.260
-3.192 9.887 -5.171
0.260 0.000 11.603
Dy Nd Th
7 12 1
Cartesian
1.067 0.001 8.560
-1.273 7.447 7.527
4.465 2.440 -2.356
1.659 2.439 1.098
3.062 0.000 -0.630
1.533 7.448 4.074
2.125 9.886 -3.389
-1.288 5.816 -1.110
-1.610 6.382 4.095
3.065 8.146 -0.629
1.611 6.383 -4.093
4.480 4.072 6.281
0.647 9.886 1.563
4.802 3.505 1.077
1.897 4.074 4.064
1.295 5.813 1.107
1.581 3.504 9.264
0.126 1.741 5.801
2.544 0.001 3.608
0.000 0.000 0.000

***

# 2
Nd4Dy5Th2, relaxed, DFT PBE-GGA; density of states at the Fermi level = 14.73 states/eV per cell; energy of formation from the pure elements = 27 meV/atom; energy above the most stable polymorph in this dataset = 0.0 meV/atom
1.0
3.162 -0.358 -1.691
-0.629 9.479 0.611
-4.360 1.524 14.567
Dy Nd Th
5 4 2
Cartesian
-0.878 4.724 5.016
1.465 1.008 2.520
1.581 -0.179 -0.845
-3.293 9.636 10.968
-0.950 5.921 8.471
-1.782 2.434 7.668
-1.833 3.673 11.145
-0.046 8.211 5.819
0.005 6.972 2.343
2.409 3.270 -0.045
-4.237 7.375 13.532

***

# 3
Nd5DyTh2, relaxed, DFT PBE-GGA; density of states at the Fermi level = 12.46 states/eV per cell; energy of formation from the pure elements = 107 meV/atom
1.0
3.496 0.000 -0.695
-0.964 10.314 -4.852
-0.085 -2.250 8.718
Nd Th Dy
5 2 1
Cartesian
0.644 4.615 3.240
1.343 8.377 -2.387
-0.482 5.157 -2.426
1.803 3.449 -0.068
1.104 -0.313 5.558
0.128 6.659 0.646
2.319 1.405 2.526
0.000 0.000 0.000

***

# 4
NdDy5Th4, relaxed, DFT PBE-GGA; density of states at the Fermi level = 14.54 states/eV per cell; energy of formation from the pure elements = 33 meV/atom
1.0
-1.235 -0.949 -3.227
6.632 -0.918 -4.257
-5.012 -11.301 3.251
Dy Nd Th
5 1 4
Cartesian
2.223 -8.882 -2.218
-1.838 -4.286 -2.015
0.810 -6.110 -0.503
-2.953 -10.809 0.330
3.339 -2.359 -4.562
0.000 0.000 0.000
2.807 -5.630 -3.397
1.420 -2.857 -1.693
-2.422 -7.539 -0.835
-1.035 -10.311 -2.540

***

# 5
Nd7DyTh2, relaxed, DFT PBE-GGA; density of states at the Fermi level = 16.73 states/eV per cell; energy of formation from the pure elements = 711 meV/atom
1.0
5.656 0.000 0.000
0.000 9.267 2.104
0.000 3.474 8.845
Nd Th Dy
7 2 1
Cartesian
2.828 5.935 8.869
0.000 2.795 2.402
0.000 9.946 8.547
2.828 6.370 5.474
2.828 3.080 6.416
2.828 9.661 4.533
2.828 6.806 2.080
2.828 8.971 7.709
2.828 3.770 3.239
0.000 0.000 0.000

***

# 6
Nd3Dy6Th2, relaxed, DFT PBE-GGA; density of states at the Fermi level = 16.12 states/eV per cell; energy of formation from the pure elements = 213 meV/atom
1.0
-0.136 4.727 3.976
-5.420 2.083 2.138
0.581 -5.716 10.073
Dy Nd Th
6 3 2
Cartesian
-3.240 -0.876 10.573
-1.735 1.971 5.614
0.115 -0.297 3.570
0.329 -0.692 10.480
-3.590 4.241 7.652
-1.386 -3.146 8.535
0.000 0.000 0.000
-3.727 4.539 4.077
-1.829 2.271 2.037
-1.615 1.776 9.062
-3.361 -0.682 7.125

***

Computed values of VASP energy (unit: eV/f.u.) for the preceding records, in sequence: -91.41; -56.62; -42.43; -57.13; -45.70; -54.41.